Material: Li3Fe2Si2O8
Method: DFT, PBE with a Hubbard U
State: optimized geometry

abc: 6.434 7.366 7.612
angles: 90.00 90.79 90.00
Space group P2_1 (No. 4)
Unique sites:
Li: 0.004 0.000 0.257
Li: 0.248 0.677 0.444
Li: 0.250 0.178 0.941
Fe: 0.256 0.676 0.067
Fe: 0.265 0.175 0.571
Si: 0.011 0.864 0.753
Si: 0.488 0.501 0.754
O: 0.006 0.227 0.419
O: 0.012 0.717 0.924
O: 0.196 0.497 0.236
O: 0.217 0.989 0.761
O: 0.273 0.378 0.761
O: 0.296 0.872 0.234
O: 0.492 0.630 0.932
O: 0.494 0.615 0.573

- Calculated volume: 360.8 Å³/cell
- Excess energy over the best structure of this formula in the dataset: 4 meV/atom
- ρ: 2.915 Mg/m³